Compound: MoRh2Br
Source: the Alexandria database
Functional: PBEsol
Structure: relaxed

The structure in CIF format:
```
data_MoRh2Br
_space_group_name_H-M_alt 'P 4/m m m'
_space_group_IT_number 123
_space_group_name_Hall '-P 4 2'
_cell_length_a 4.6863
_cell_length_b 4.6863
_cell_length_c 2.7955
_cell_angle_alpha 90.00
_cell_angle_beta 90.00
_cell_angle_gamma 90.00
loop_
_atom_site_label
_atom_site_fract_x
_atom_site_fract_y
_atom_site_fract_z
Mo1 0.0000 0.0000 0.0000
Rh1 0.0000 0.5000 0.5000
Br1 0.5000 0.5000 0.0000
```

Raw formation energy in meV per atom: 671
Excess energy over the best structure of this formula in the dataset in meV per atom: 457

***

Compound: Li2LaMo
Source: the Alexandria database
Functional: PBEsol
Structure: relaxed

The structure in CIF format:
```
data_Li2LaMo
_space_group_name_H-M_alt 'F -4 3 m'
_space_group_IT_number 216
_space_group_name_Hall 'F -4 2 3'
_cell_length_a 6.6704
_cell_length_b 6.6704
_cell_length_c 6.6704
_cell_angle_alpha 90.00
_cell_angle_beta 90.00
_cell_angle_gamma 90.00
loop_
_atom_site_label
_atom_site_fract_x
_atom_site_fract_y
_atom_site_fract_z
Li1 0.0000 0.0000 0.0000
Li2 0.2500 0.2500 0.2500
La1 0.2500 0.2500 0.7500
Mo1 0.0000 0.0000 0.5000
```

Excess energy over the best structure of this formula in the dataset in meV per atom: 227
ΔE_f in eV/atom: 0.68

***

Compound: TeSeBrN2
Source: the Alexandria database
Functional: PBEsol
Structure: relaxed

The structure in CIF format:
```
data_TeSeBrN2
_space_group_name_H-M_alt 'P 4/m m m'
_space_group_IT_number 123
_space_group_name_Hall '-P 4 2'
_cell_length_a 4.0697
_cell_length_b 4.0697
_cell_length_c 5.2165
_cell_angle_alpha 90.00
_cell_angle_beta 90.00
_cell_angle_gamma 90.00
loop_
_atom_site_label
_atom_site_fract_x
_atom_site_fract_y
_atom_site_fract_z
Te1 0.0000 0.0000 0.0000
Se1 0.5000 0.5000 0.0000
Br1 0.5000 0.5000 0.5000
N1 0.0000 0.5000 0.5000
```

Raw formation energy in meV per atom: 1923

***

Compound: Zn2Ag
Source: the Alexandria database
Functional: PBEsol
Structure: relaxed

The structure in CIF format:
```
data_Zn2Ag
_space_group_name_H-M_alt 'P 6/m m m'
_space_group_IT_number 191
_space_group_name_Hall '-P 6 2'
_cell_length_a 4.3342
_cell_length_b 4.3342
_cell_length_c 2.7286
_cell_angle_alpha 90.00
_cell_angle_beta 90.00
_cell_angle_gamma 120.00
loop_
_atom_site_label
_atom_site_fract_x
_atom_site_fract_y
_atom_site_fract_z
Zn1 0.3333 0.6667 0.0000
Ag1 0.0000 0.0000 0.5000
```

ΔE_f in eV/atom: -0.03

***

Compound: TlPPt5
Source: the Alexandria database
Functional: PBEsol
Structure: relaxed

The structure in CIF format:
```
data_TlPPt5
_space_group_name_H-M_alt 'P 4/m m m'
_space_group_IT_number 123
_space_group_name_Hall '-P 4 2'
_cell_length_a 3.9505
_cell_length_b 3.9505
_cell_length_c 7.0770
_cell_angle_alpha 90.00
_cell_angle_beta 90.00
_cell_angle_gamma 90.00
loop_
_atom_site_label
_atom_site_fract_x
_atom_site_fract_y
_atom_site_fract_z
Tl1 0.0000 0.0000 0.0000
P1 0.5000 0.5000 0.5000
Pt1 0.0000 0.5000 0.3021
Pt2 0.5000 0.5000 0.0000
```

ΔE_f in eV/atom: -0.26

***

Compound: CaLa2P
Source: the Alexandria database
Functional: PBEsol
Structure: relaxed

The structure in CIF format:
```
data_CaLa2P
_space_group_name_H-M_alt 'R -3 m'
_space_group_IT_number 166
_space_group_name_Hall '-R 3 2"'
_cell_length_a 4.0137
_cell_length_b 4.0137
_cell_length_c 30.2498
_cell_angle_alpha 90.00
_cell_angle_beta 90.00
_cell_angle_gamma 120.00
loop_
_atom_site_label
_atom_site_fract_x
_atom_site_fract_y
_atom_site_fract_z
Ca1 0.0000 0.0000 0.0000
La1 0.0000 0.0000 0.2219
P1 0.0000 0.0000 0.5000
```

ΔE_f in eV/atom: -0.70

***

Compound: Y4ZrZn
Source: the Alexandria database
Functional: PBEsol
Structure: relaxed

The structure in CIF format:
```
data_Y4ZrZn
_space_group_name_H-M_alt 'F -4 3 m'
_space_group_IT_number 216
_space_group_name_Hall 'F -4 2 3'
_cell_length_a 8.6719
_cell_length_b 8.6719
_cell_length_c 8.6719
_cell_angle_alpha 90.00
_cell_angle_beta 90.00
_cell_angle_gamma 90.00
loop_
_atom_site_label
_atom_site_fract_x
_atom_site_fract_y
_atom_site_fract_z
Y1 0.1246 0.1246 0.1246
Zr1 0.2500 0.2500 0.7500
Zn1 0.0000 0.0000 0.5000
```

ΔE_f in eV/atom: 0.53

***

Compound: Al2RePtPb
Source: the Alexandria database
Functional: PBEsol
Structure: relaxed

The structure in CIF format:
```
data_Al2RePtPb
_space_group_name_H-M_alt 'P 4/m m m'
_space_group_IT_number 123
_space_group_name_Hall '-P 4 2'
_cell_length_a 4.9104
_cell_length_b 4.9104
_cell_length_c 5.0487
_cell_angle_alpha 90.00
_cell_angle_beta 90.00
_cell_angle_gamma 90.00
loop_
_atom_site_label
_atom_site_fract_x
_atom_site_fract_y
_atom_site_fract_z
Al1 0.0000 0.5000 0.0000
Re1 0.0000 0.0000 0.5000
Pt1 0.5000 0.5000 0.5000
Pb1 0.0000 0.0000 0.0000
```

ΔE_f in eV/atom: 2.21